Entry 1:
A geometry-optimized TcMoCl structure. Source: the Alexandria database, functional PBE.

Geometry as POSCAR:
```
TcMoCl
1.0
0.000 2.613 6.433
1.551 0.000 6.433
1.551 2.613 0.000
Tc Mo Cl
1 1 1
Cartesian
0.000 0.000 0.000
1.551 2.613 4.617
1.551 2.613 8.868
```

Its uncorrected formation energy is 1.1 eV per formula unit. As for the energy above the most stable polymorph in this dataset: 0.1516 eV per atom. As for the space group: Fmm2. The volume comes out at 52.1 Å³/cell.


Entry 2:
A geometry-optimized Tc2MoCl structure. Source: the Alexandria database, functional PBE.

Geometry as POSCAR:
```
Tc2MoCl
1.0
1.535 -2.414 0.000
1.535 2.414 0.000
0.000 0.000 8.537
Tc Mo Cl
2 1 1
Cartesian
0.000 0.000 2.064
0.000 0.000 6.473
1.535 0.000 0.000
1.535 0.000 4.268
```

Its uncorrected formation energy is 1.9 eV per formula unit. As for the energy above the most stable polymorph in this dataset: 0.1729 eV per atom. As for the space group: Cmmm. The volume comes out at 63.3 Å³/cell.


Entry 3:
A geometry-optimized Tc2MoCl structure. Source: the Alexandria database, functional PBE.

Geometry as POSCAR:
```
Tc2MoCl
1.0
4.954 -1.462 0.000
4.954 1.462 0.000
-0.059 0.000 4.283
Tc Mo Cl
2 1 1
Cartesian
2.113 0.000 0.969
7.736 0.000 3.313
4.954 0.000 0.000
-0.030 0.000 2.141
```

Its uncorrected formation energy is 2.0 eV per formula unit. As for the energy above the most stable polymorph in this dataset: 0.2181 eV per atom. As for the space group: C2/m. The volume comes out at 62.0 Å³/cell.


Entry 4:
A geometry-optimized TcMoCl2 structure. Source: the Alexandria database, functional PBE.

Geometry as POSCAR:
```
TcMoCl2
1.0
1.507 0.870 8.183
-1.507 0.870 8.183
0.000 -1.740 8.183
Tc Mo Cl
1 1 2
Cartesian
0.000 0.000 0.000
0.000 0.000 12.274
0.000 0.000 2.299
0.000 0.000 22.249
```

Its uncorrected formation energy is 1.5 eV per formula unit. As for the energy above the most stable polymorph in this dataset: 0.6528 eV per atom. As for the space group: R-3m. The volume comes out at 64.4 Å³/cell.


Entry 5:
A geometry-optimized TcMoCl2 structure. Source: the Alexandria database, functional PBE.

Geometry as POSCAR:
```
TcMoCl2
1.0
2.830 -4.297 0.000
2.830 4.297 0.000
-2.092 0.000 2.740
Tc Mo Cl
1 1 2
Cartesian
0.000 0.000 0.000
2.830 0.000 0.000
1.415 2.148 0.000
1.415 -2.148 0.000
```

Its uncorrected formation energy is 2.6 eV per formula unit. As for the energy above the most stable polymorph in this dataset: 0.9247 eV per atom. As for the space group: C2/m. The volume comes out at 66.7 Å³/cell.


Entry 6:
A geometry-optimized TcMoCl structure. Source: the Alexandria database, functional PBE.

Geometry as POSCAR:
```
TcMoCl
1.0
-1.465 2.046 3.831
1.465 -2.046 3.831
1.465 2.046 -3.831
Tc Mo Cl
1 1 1
Cartesian
0.000 0.000 0.000
0.000 0.000 2.583
0.000 0.000 5.115
```

Its uncorrected formation energy is 2.2 eV per formula unit. As for the energy above the most stable polymorph in this dataset: 0.4887 eV per atom. As for the space group: Imm2. The volume comes out at 46.0 Å³/cell.